TlVCrTe2 GGA-PBE optimized geometry; DOS at the Fermi energy = 7.67 states/eV/cell; DFT total energy = -19.7 eV per cell; M_tot = 3.862 μB per formula unit; E_form (uncorrected) = 1.530 eV/atom
1.0
5.794 0.000 0.000
0.000 5.794 0.000
0.000 0.000 5.044
Tl V Cr Te
1 1 1 2
Direct
0.000 0.000 0.000
0.500 0.500 0.500
0.000 0.000 0.500
0.000 0.500 0.000
0.500 0.000 0.000

=====

CaCoHg2B GGA-PBE optimized geometry; DOS at the Fermi energy = 2.35 states/eV/cell; energy relative to the elements = 169 meV/atom; DFT total energy = -15.5 eV per cell; M_tot = 0.000 μB per formula unit
1.0
5.062 0.000 0.000
0.000 5.062 0.000
0.000 0.000 3.897
Ca Co Hg B
1 1 2 1
Direct
0.000 0.000 0.000
0.500 0.500 0.500
0.000 0.500 0.500
0.500 0.000 0.500
0.500 0.500 0.000

=====

Sm4Pb2F GGA-PBE optimized geometry; DOS at the Fermi energy = 6.30 states/eV/cell; DFT total energy = -35.2 eV per cell; M_tot = 1.525 μB per formula unit; E_form (uncorrected) = -1.007 eV/atom
1.0
-2.350 2.350 9.036
2.350 -2.350 9.036
2.350 2.350 -9.036
Sm Pb F
4 2 1
Direct
0.000 0.500 0.500
0.186 0.186 0.000
0.500 0.000 0.500
0.814 0.814 0.000
0.366 0.366 0.000
0.634 0.634 0.000
0.000 0.000 0.000

=====

LaMg2PSe GGA-PBE optimized geometry; DOS at the Fermi energy = 3.07 states/eV/cell; DFT total energy = -13.3 eV per cell; M_tot = 2.083 μB per formula unit; E_form (uncorrected) = 0.734 eV/atom
1.0
6.662 0.000 0.000
0.000 6.662 0.000
0.000 0.000 5.518
La Mg P Se
1 2 1 1
Direct
0.000 0.000 0.000
0.000 0.500 0.000
0.500 0.000 0.000
0.500 0.500 0.500
0.000 0.000 0.500